# AlTe2W

A geometry-optimized AlTe2W structure (GGA-PBE, Alexandria via LeMat-Bulk).

Cell lengths 7.5578, 7.5578, 7.5578 Å; angles 152.65, 150.02, 41.03 degrees
Last column: nearest neighbours and their distance in Å.
Sites, in units of the cell vectors:
Al  0.2500  0.7500  0.5000  4 W 2.65, 4 Te 2.92
Te  0.9028  0.9028  0.0000  2 W 2.81, 2 Al 2.92
Te  0.5972  0.5972  0.0000  2 W 2.81, 2 Al 2.92
W  0.7500  0.2500  0.5000  4 Al 2.65, 4 Te 2.81

- Raw total energy: -22.257 eV per cell
- D(E_F): 2.78 states/eV/f.u.